# Mg2InHg (GGA-PBEsol, optimized geometry)
# DFT total energy	-1.914	eV per atom
# crystal system	tetragonal
# ΔE_f	-0.1682	eV/atom
# density	6.945	Mg/m³
data_Mg2InHg
_space_group_name_H-M_alt 'I -4 m 2'
_space_group_IT_number 119
_space_group_name_Hall 'I -4 -2'
_cell_length_a 4.307
_cell_length_b 4.307
_cell_length_c 9.382
_cell_angle_alpha 90.00
_cell_angle_beta 90.00
_cell_angle_gamma 90.00
loop_
_atom_site_label
_atom_site_fract_x
_atom_site_fract_y
_atom_site_fract_z
Mg1 0.000 0.000 0.000
Mg2 0.000 0.500 0.250
In1 0.000 0.500 0.750
Hg1 0.000 0.000 0.500